Entry 1:
# KNa2Ni2O4 (PBE with a Hubbard U, optimized geometry)
# Size of the total moment, μB per formula unit: 3.00
# Energy, eV per cell: -155.25
# Density of states at the Fermi level, states/eV/f.u.: 0.3
data_KNa2Ni2O4
_symmetry_space_group_name_H-M 'P 1 21/c 1'
_symmetry_Int_Tables_number 14
_cell_length_a 5.8509
_cell_length_b 11.0942
_cell_length_c 8.9072
_cell_angle_alpha 90.00
_cell_angle_beta 113.00
_cell_angle_gamma 90.00
loop_
_symmetry_equiv_pos_as_xyz
'x,y,z'
'-x,-y,-z'
'-x,y+1/2,-z+1/2'
'x,-y+1/2,z+1/2'
loop_
_atom_site_label
_atom_site_fract_x
_atom_site_fract_y
_atom_site_fract_z
_atom_site_occupancy
K1 0.1691 0.1129 0.4596 1
Na1 0.0935 0.7001 0.3687 1
Na2 0.0936 0.0805 0.8820 1
Ni1 0.4554 0.5825 0.6889 1
Ni2 0.4851 0.6663 0.2392 1
O1 0.2214 0.7221 0.6553 1
O2 0.2470 0.0553 0.1742 1
O3 0.2803 0.5465 0.2485 1
O4 0.3076 0.2145 0.7741 1


Entry 2:
# K2NaNiO4 (PBE with a Hubbard U, optimized geometry)
# Size of the total moment, μB per formula unit: 5.07
# Energy, eV per cell: -65.06
data_K2NaNiO4
_symmetry_space_group_name_H-M 'I -4 2 m'
_symmetry_Int_Tables_number 121
_symmetry_space_group_name_Hall 'I -4 2'
_cell_length_a 6.5412
_cell_length_b 6.5412
_cell_length_c 6.0602
_cell_angle_alpha 90.00
_cell_angle_beta 90.00
_cell_angle_gamma 90.00
loop_
_atom_site_label
_atom_site_fract_x
_atom_site_fract_y
_atom_site_fract_z
_atom_site_occupancy
K1 0.0000 0.5000 0.0000 1
Na1 0.0000 0.0000 0.0000 1
Ni1 0.0000 0.0000 0.5000 1
O1 0.1529 0.1529 0.3194 1